[1]
Entry from Alexandria: a relaxed structure of Li2Ru (PBE-GGA).

Values from the calculation:
DFT total energy in eV/f.u.: -12.5
Density in kg/m³: 4498
D(E_F) in states/eV/f.u.: 2.27
Magnetic moment in μB per formula unit: 0.57
ΔH_f (0 K) in eV/atom: 0.20
Crystal system: monoclinic

a = 10.2347 Å, b = 2.6380 Å, c = 6.5843 Å
α = 90.00°, β = 107.29°, γ = 90.00°
Space group Cm (No. 8)
One atom of each set of equivalent atoms:
Li 0.0000 0.0000 0.0000 (multiplicity 2)
Li 0.0547 0.0000 0.6123 (multiplicity 2)
Li 0.2285 0.5000 0.9527 (multiplicity 2)
Li 0.3957 0.0000 0.2954 (multiplicity 2)
Ru 0.1741 0.5000 0.3409 (multiplicity 2)
Ru 0.3251 0.0000 0.6605 (multiplicity 2)


[2]
Entry from Alexandria: a relaxed structure of Li3Ru (PBE-GGA).

Values from the calculation:
DFT total energy in eV/f.u.: -14.6
Density in kg/m³: 3420
D(E_F) in states/eV/f.u.: 2.37
Magnetic moment in μB per formula unit: 0.00
ΔH_f (0 K) in eV/atom: 0.11
Crystal system: orthorhombic

a = 9.0286 Å, b = 5.9688 Å, c = 4.3933 Å
α = 90.00°, β = 90.00°, γ = 90.00°
Space group Cmcm (No. 63)
One atom of each set of equivalent atoms:
Li 0.0000 0.1271 0.2500 (multiplicity 4)
Li 0.2468 0.3666 0.2500 (multiplicity 8)
Ru 0.0000 0.4145 0.7500 (multiplicity 4)


[3]
Entry from Alexandria: a relaxed structure of Li2Ru (PBE-GGA).

Values from the calculation:
DFT total energy in eV/f.u.: -12.2
Density in kg/m³: 3807
D(E_F) in states/eV/f.u.: 2.20
Magnetic moment in μB per formula unit: 0.15
ΔH_f (0 K) in eV/atom: 0.29
Crystal system: tetragonal

a = 6.5429 Å, b = 6.5429 Å, c = 4.6847 Å
α = 90.00°, β = 90.00°, γ = 90.00°
Space group I4/mcm (No. 140)
One atom of each set of equivalent atoms:
Li 0.1673 0.3327 0.0000 (multiplicity 8)
Ru 0.0000 0.0000 0.2500 (multiplicity 4)


[4]
Entry from Alexandria: a relaxed structure of LiRu (PBE-GGA).

Values from the calculation:
DFT total energy in eV/f.u.: -10.9
Density in kg/m³: 6062
D(E_F) in states/eV/f.u.: 2.31
Magnetic moment in μB per formula unit: 0.00
ΔH_f (0 K) in eV/atom: 0.13
Crystal system: trigonal

a = 2.7267 Å, b = 2.7267 Å, c = 9.1900 Å
α = 90.00°, β = 90.00°, γ = 120.00°
Space group P-3m1 (No. 164)
One atom of each set of equivalent atoms:
Li 0.3333 0.6667 0.1430 (multiplicity 2)
Ru 0.3333 0.6667 0.6116 (multiplicity 2)